[1]
# HoAlGa4 (PBE, relaxed)
# Total energy (eV per formula unit): -22.31
# Spin magnetization (μB/cell): 0.0
data_HoAlGa4
_chemical_formula_sum 'Ho2 Al2 Ga8'
_cell_length_a 10.767
_cell_length_b 4.122
_cell_length_c 6.347
_cell_angle_alpha 90.00
_cell_angle_beta 125.59
_cell_angle_gamma 90.00
_space_group_name_H-M_alt 'C 1 2/m 1'
_space_group_IT_number 12
_space_group_name_Hall '-C 2y'
loop_
_atom_site_label
_atom_site_type_symbol
_atom_site_fract_x
_atom_site_fract_y
_atom_site_fract_z
Ho1 Ho 0.000 0.000 0.000
Al1 Al 0.000 0.000 0.500
Ga1 Ga 0.160 0.500 0.443
Ga2 Ga 0.162 0.500 0.877

[2]
# Mo2Pd4Pt5 (PBE, relaxed)
# Total energy (eV per formula unit): -72.21
# Spin magnetization (μB/cell): 0.0
data_Mo2Pd4Pt5
_chemical_formula_sum 'Mo4 Pd8 Pt10'
_cell_length_a 4.540
_cell_length_b 7.639
_cell_length_c 10.467
_cell_angle_alpha 90.00
_cell_angle_beta 90.00
_cell_angle_gamma 90.00
_space_group_name_H-M_alt 'I m m m'
_space_group_IT_number 71
_space_group_name_Hall '-I 2 2'
loop_
_atom_site_label
_atom_site_type_symbol
_atom_site_fract_x
_atom_site_fract_y
_atom_site_fract_z
Mo1 Mo 0.000 0.000 0.132
Pd1 Pd 0.000 0.000 0.377
Pd2 Pd 0.000 0.311 0.000
Pt1 Pt 0.000 0.333 0.263
Pt2 Pt 0.000 0.500 0.500

[3]
# TaBS (PBE, relaxed)
# Raw formation energy (eV per atom): -0.937
# Total energy (eV per formula unit): -25.47
# Spin magnetization (μB/cell): 0.0
data_TaBS
_chemical_formula_sum 'Ta4 B4 S4'
_cell_length_a 5.552
_cell_length_b 3.206
_cell_length_c 10.625
_cell_angle_alpha 90.00
_cell_angle_beta 100.09
_cell_angle_gamma 90.00
_space_group_name_H-M_alt 'C 1 2/m 1'
_space_group_IT_number 12
_space_group_name_Hall '-C 2y'
loop_
_atom_site_label
_atom_site_type_symbol
_atom_site_fract_x
_atom_site_fract_y
_atom_site_fract_z
Ta1 Ta 0.051 0.000 0.152
B1 B 0.166 0.500 0.999
S1 S 0.230 0.000 0.691

[4]
# AcZnIn2 (PBE, relaxed)
# Total energy (eV per formula unit): -12.06
# Spin magnetization (μB/cell): 0.0
data_AcZnIn2
_chemical_formula_sum 'Ac3 Zn3 In6'
_cell_length_a 4.6737
_cell_length_b 4.6737
_cell_length_c 17.8777
_cell_angle_alpha 90.00
_cell_angle_beta 90.00
_cell_angle_gamma 120.00
_space_group_name_H-M_alt 'R -3 m'
_space_group_IT_number 166
_space_group_name_Hall '-R 3 2"'
loop_
_atom_site_label
_atom_site_type_symbol
_atom_site_fract_x
_atom_site_fract_y
_atom_site_fract_z
Ac1 Ac 0.0000 0.0000 0.0000
Zn1 Zn 0.0000 0.0000 0.5000
In1 In 0.0000 0.0000 0.2166

[5]
# Cu2O3 (PBE, relaxed)
# Raw formation energy (eV per atom): -0.410
# Total energy (eV per formula unit): -25.11
# Spin magnetization (μB/cell): 0.0
data_Cu2O3
_chemical_formula_sum 'Cu32 O48'
_cell_length_a 9.312
_cell_length_b 9.312
_cell_length_c 9.312
_cell_angle_alpha 90.00
_cell_angle_beta 90.00
_cell_angle_gamma 90.00
_space_group_name_H-M_alt 'I a -3'
_space_group_IT_number 206
_space_group_name_Hall '-I 2b 2c 3'
loop_
_atom_site_label
_atom_site_type_symbol
_atom_site_fract_x
_atom_site_fract_y
_atom_site_fract_z
Cu1 Cu 0.000 0.250 0.467
Cu2 Cu 0.250 0.250 0.250
O1 O 0.105 0.121 0.337

[6]
# Rb3Tm2ScO6 (PBE, relaxed)
# Raw formation energy (eV per atom): -2.708
# Total energy (eV per formula unit): -80.42
# Spin magnetization (μB/cell): 0.0
data_Rb3Tm2ScO6
_chemical_formula_sum 'Rb6 Tm4 Sc2 O12'
_cell_length_a 5.882
_cell_length_b 10.188
_cell_length_c 6.800
_cell_angle_alpha 90.00
_cell_angle_beta 106.75
_cell_angle_gamma 90.00
_space_group_name_H-M_alt 'C 1 2/m 1'
_space_group_IT_number 12
_space_group_name_Hall '-C 2y'
loop_
_atom_site_label
_atom_site_type_symbol
_atom_site_fract_x
_atom_site_fract_y
_atom_site_fract_z
Rb1 Rb 0.000 0.000 0.000
Rb2 Rb 0.000 0.334 0.000
Tm1 Tm 0.000 0.167 0.500
Sc1 Sc 0.000 0.500 0.500
O1 O 0.219 0.338 0.671
O2 O 0.234 0.000 0.671

[7]
# Cs6As3Cl14 (PBE, relaxed)
# Raw formation energy (eV per atom): -1.309
# Total energy (eV per formula unit): -75.03
# Spin magnetization (μB/cell): 0.7
data_Cs6As3Cl14
_chemical_formula_sum 'Cs6 As3 Cl14'
_cell_length_a 12.8457
_cell_length_b 12.8457
_cell_length_c 5.9830
_cell_angle_alpha 90.00
_cell_angle_beta 90.00
_cell_angle_gamma 120.00
_space_group_name_H-M_alt 'P 3'
_space_group_IT_number 143
_space_group_name_Hall 'P 3'
loop_
_atom_site_label
_atom_site_type_symbol
_atom_site_fract_x
_atom_site_fract_y
_atom_site_fract_z
Cs1 Cs 0.0270 0.5638 0.0000
Cs2 Cs 0.3014 0.1010 0.5292
As1 As 0.0000 0.0000 0.9408
As2 As 0.3333 0.6667 0.4322
As3 As 0.6667 0.3333 0.2671
Cl1 Cl 0.0000 0.0000 0.4038
Cl2 Cl 0.0758 0.8612 0.9205
Cl3 Cl 0.1959 0.4530 0.4051
Cl4 Cl 0.3333 0.6667 0.8583
Cl5 Cl 0.4765 0.2108 0.0386
Cl6 Cl 0.5433 0.4012 0.4944

[8]
# Rb2ZnIrBr6 (PBE, relaxed)
# Raw formation energy (eV per atom): -0.843
# Total energy (eV per formula unit): -30.54
# Spin magnetization (μB/cell): 0.0
data_Rb2ZnIrBr6
_chemical_formula_sum 'Rb4 Zn2 Ir2 Br12'
_cell_length_a 7.555
_cell_length_b 7.555
_cell_length_c 10.446
_cell_angle_alpha 90.00
_cell_angle_beta 90.00
_cell_angle_gamma 90.00
_space_group_name_H-M_alt 'I 4/m m m'
_space_group_IT_number 139
_space_group_name_Hall '-I 4 2'
loop_
_atom_site_label
_atom_site_type_symbol
_atom_site_fract_x
_atom_site_fract_y
_atom_site_fract_z
Rb1 Rb 0.000 0.500 0.250
Zn1 Zn 0.000 0.000 0.000
Ir1 Ir 0.000 0.000 0.500
Br1 Br 0.000 0.000 0.253
Br2 Br 0.239 0.239 0.500

[9]
# CrFe2Cu (PBE, relaxed)
# Total energy (eV per formula unit): -29.82
# Spin magnetization (μB/cell): 7.9
data_CrFe2Cu
_chemical_formula_sum 'Cr3 Fe6 Cu3'
_cell_length_a 2.5003
_cell_length_b 2.5003
_cell_length_c 25.2458
_cell_angle_alpha 90.00
_cell_angle_beta 90.00
_cell_angle_gamma 120.00
_space_group_name_H-M_alt 'R 3 m'
_space_group_IT_number 160
_space_group_name_Hall 'R 3 -2"'
loop_
_atom_site_label
_atom_site_type_symbol
_atom_site_fract_x
_atom_site_fract_y
_atom_site_fract_z
Cr1 Cr 0.0000 0.0000 0.0000
Fe1 Fe 0.0000 0.0000 0.2557
Fe2 Fe 0.0000 0.0000 0.5065
Cu1 Cu 0.0000 0.0000 0.7544

[10]
# RbMnPd2 (PBE, relaxed)
# Total energy (eV per formula unit): -18.33
# Spin magnetization (μB/cell): 17.6
data_RbMnPd2
_chemical_formula_sum 'Rb4 Mn4 Pd8'
_cell_length_a 6.920
_cell_length_b 6.920
_cell_length_c 6.920
_cell_angle_alpha 90.00
_cell_angle_beta 90.00
_cell_angle_gamma 90.00
_space_group_name_H-M_alt 'F m -3 m'
_space_group_IT_number 225
_space_group_name_Hall '-F 4 2 3'
loop_
_atom_site_label
_atom_site_type_symbol
_atom_site_fract_x
_atom_site_fract_y
_atom_site_fract_z
Rb1 Rb 0.000 0.000 0.000
Mn1 Mn 0.000 0.000 0.500
Pd1 Pd 0.250 0.250 0.250

[11]
# Ge2BI (PBE, relaxed)
# Raw formation energy (eV per atom): 1.371
# Total energy (eV per formula unit): -11.98
# Spin magnetization (μB/cell): 0.0
data_Ge2BI
_chemical_formula_sum 'Ge8 B4 I4'
_cell_length_a 6.894
_cell_length_b 6.894
_cell_length_c 6.894
_cell_angle_alpha 90.00
_cell_angle_beta 90.00
_cell_angle_gamma 90.00
_space_group_name_H-M_alt 'F m -3 m'
_space_group_IT_number 225
_space_group_name_Hall '-F 4 2 3'
loop_
_atom_site_label
_atom_site_type_symbol
_atom_site_fract_x
_atom_site_fract_y
_atom_site_fract_z
Ge1 Ge 0.250 0.250 0.250
B1 B 0.000 0.000 0.000
I1 I 0.000 0.000 0.500

[12]
# CaCd2Ir (PBE, relaxed)
# Total energy (eV per formula unit): -12.76
# Spin magnetization (μB/cell): 0.3
data_CaCd2Ir
_chemical_formula_sum 'Ca1 Cd2 Ir1'
_cell_length_a 3.591
_cell_length_b 3.591
_cell_length_c 6.576
_cell_angle_alpha 90.00
_cell_angle_beta 90.00
_cell_angle_gamma 90.00
_space_group_name_H-M_alt 'P 4/m m m'
_space_group_IT_number 123
_space_group_name_Hall '-P 4 2'
loop_
_atom_site_label
_atom_site_type_symbol
_atom_site_fract_x
_atom_site_fract_y
_atom_site_fract_z
Ca1 Ca 0.000 0.000 0.000
Cd1 Cd 0.500 0.500 0.287
Ir1 Ir 0.000 0.000 0.500

[13]
# Tb8Te4P3Cl (PBE, relaxed)
# Raw formation energy (eV per atom): -1.506
# Total energy (eV per formula unit): -91.79
# Spin magnetization (μB/cell): 0.0
data_Tb8Te4P3Cl
_chemical_formula_sum 'Tb24 Te12 P9 Cl3'
_cell_length_a 8.2720
_cell_length_b 8.2720
_cell_length_c 21.1753
_cell_angle_alpha 90.00
_cell_angle_beta 90.00
_cell_angle_gamma 120.00
_space_group_name_H-M_alt 'R -3 m'
_space_group_IT_number 166
_space_group_name_Hall '-R 3 2"'
loop_
_atom_site_label
_atom_site_type_symbol
_atom_site_fract_x
_atom_site_fract_y
_atom_site_fract_z
Tb1 Tb 0.0000 0.0000 0.2360
Tb2 Tb 0.0152 0.5076 0.7630
Te1 Te 0.0000 0.0000 0.0000
Te2 Te 0.0000 0.5000 0.0000
P1 P 0.0000 0.5000 0.5000
Cl1 Cl 0.0000 0.0000 0.5000

[14]
# LaNd2ZrN4 (PBE, relaxed)
# Raw formation energy (eV per atom): -1.403
# Total energy (eV per formula unit): -67.54
# Spin magnetization (μB/cell): 0.0
data_LaNd2ZrN4
_chemical_formula_sum 'La1 Nd2 Zr1 N4'
_cell_length_a 6.157
_cell_length_b 3.550
_cell_length_c 6.211
_cell_angle_alpha 90.00
_cell_angle_beta 109.11
_cell_angle_gamma 90.00
_space_group_name_H-M_alt 'P 1 2/m 1'
_space_group_IT_number 10
_space_group_name_Hall '-P 2y'
loop_
_atom_site_label
_atom_site_type_symbol
_atom_site_fract_x
_atom_site_fract_y
_atom_site_fract_z
La1 La 0.000 0.000 0.000
Nd1 Nd 0.500 0.000 0.500
Nd2 Nd 0.500 0.500 0.000
Zr1 Zr 0.000 0.500 0.500
N1 N 0.228 0.000 0.726
N2 N 0.235 0.500 0.271

[15]
# Y2C (PBE, relaxed)
# Total energy (eV per formula unit): -22.69
# Spin magnetization (μB/cell): 0.0
data_Y2C
_chemical_formula_sum 'Y6 C3'
_cell_length_a 6.1873
_cell_length_b 6.1873
_cell_length_c 5.9260
_cell_angle_alpha 90.00
_cell_angle_beta 90.00
_cell_angle_gamma 120.00
_space_group_name_H-M_alt 'P -3 1 m'
_space_group_IT_number 162
_space_group_name_Hall '-P 3 2'
loop_
_atom_site_label
_atom_site_type_symbol
_atom_site_fract_x
_atom_site_fract_y
_atom_site_fract_z
Y1 Y 0.0000 0.3331 0.2591
C1 C 0.0000 0.0000 0.0000
C2 C 0.3333 0.6667 0.5000

[16]
# Be2InCl (PBE, relaxed)
# Raw formation energy (eV per atom): 0.381
# Total energy (eV per formula unit): -10.51
# Spin magnetization (μB/cell): 0.0
data_Be2InCl
_chemical_formula_sum 'Be6 In3 Cl3'
_cell_length_a 3.3074
_cell_length_b 3.3074
_cell_length_c 20.7138
_cell_angle_alpha 90.00
_cell_angle_beta 90.00
_cell_angle_gamma 120.00
_space_group_name_H-M_alt 'R -3 m'
_space_group_IT_number 166
_space_group_name_Hall '-R 3 2"'
loop_
_atom_site_label
_atom_site_type_symbol
_atom_site_fract_x
_atom_site_fract_y
_atom_site_fract_z
Be1 Be 0.0000 0.0000 0.2463
In1 In 0.0000 0.0000 0.0000
Cl1 Cl 0.0000 0.0000 0.5000

[17]
# LaTb2PmTl4 (PBE, relaxed)
# Total energy (eV per formula unit): -31.41
# Spin magnetization (μB/cell): 0.0
data_LaTb2PmTl4
_chemical_formula_sum 'La3 Tb6 Pm3 Tl12'
_cell_length_a 5.4748
_cell_length_b 5.4748
_cell_length_c 26.8727
_cell_angle_alpha 90.00
_cell_angle_beta 90.00
_cell_angle_gamma 120.00
_space_group_name_H-M_alt 'R -3 m'
_space_group_IT_number 166
_space_group_name_Hall '-R 3 2"'
loop_
_atom_site_label
_atom_site_type_symbol
_atom_site_fract_x
_atom_site_fract_y
_atom_site_fract_z
La1 La 0.0000 0.0000 0.0000
Tb1 Tb 0.0000 0.0000 0.2498
Pm1 Pm 0.0000 0.0000 0.5000
Tl1 Tl 0.0000 0.0000 0.1261
Tl2 Tl 0.0000 0.0000 0.3762

[18]
# Ti4HSe5 (PBE, relaxed)
# Total energy (eV per formula unit): -60.79
# Spin magnetization (μB/cell): 0.0
data_Ti4HSe5
_chemical_formula_sum 'Ti8 H2 Se10'
_cell_length_a 15.445
_cell_length_b 3.445
_cell_length_c 7.072
_cell_angle_alpha 90.00
_cell_angle_beta 101.53
_cell_angle_gamma 90.00
_space_group_name_H-M_alt 'C 1 2/m 1'
_space_group_IT_number 12
_space_group_name_Hall '-C 2y'
loop_
_atom_site_label
_atom_site_type_symbol
_atom_site_fract_x
_atom_site_fract_y
_atom_site_fract_z
Ti1 Ti 0.001 0.000 0.276
Ti2 Ti 0.165 0.500 0.577
H1 H 0.000 0.500 0.500
Se1 Se 0.000 0.500 0.000
Se2 Se 0.162 0.000 0.834
Se3 Se 0.168 0.000 0.311

[19]
# Ag2Pb2Au (PBE, relaxed)
# Total energy (eV per formula unit): -16.03
# Spin magnetization (μB/cell): 0.0
data_Ag2Pb2Au
_chemical_formula_sum 'Ag4 Pb4 Au2'
_cell_length_a 7.331
_cell_length_b 7.331
_cell_length_c 4.412
_cell_angle_alpha 90.00
_cell_angle_beta 90.00
_cell_angle_gamma 90.00
_space_group_name_H-M_alt 'P 4/m b m'
_space_group_IT_number 127
_space_group_name_Hall '-P 4 2ab'
loop_
_atom_site_label
_atom_site_type_symbol
_atom_site_fract_x
_atom_site_fract_y
_atom_site_fract_z
Ag1 Ag 0.137 0.363 0.000
Pb1 Pb 0.170 0.670 0.500
Au1 Au 0.000 0.000 0.000

[20]
# Ac12TbY5 (PBE, relaxed)
# Total energy (eV per formula unit): -85.36
# Spin magnetization (μB/cell): 0.0
data_Ac12TbY5
_chemical_formula_sum 'Ac24 Tb2 Y10'
_cell_length_a 20.083
_cell_length_b 11.495
_cell_length_c 6.689
_cell_angle_alpha 90.00
_cell_angle_beta 109.11
_cell_angle_gamma 90.00
_space_group_name_H-M_alt 'C 1 2/m 1'
_space_group_IT_number 12
_space_group_name_Hall '-C 2y'
loop_
_atom_site_label
_atom_site_type_symbol
_atom_site_fract_x
_atom_site_fract_y
_atom_site_fract_z
Ac1 Ac 0.000 0.165 0.000
Ac2 Ac 0.000 0.334 0.500
Ac3 Ac 0.166 0.165 0.500
Ac4 Ac 0.167 0.335 0.000
Tb1 Tb 0.000 0.000 0.500
Y1 Y 0.000 0.500 0.000
Y2 Y 0.167 0.000 0.000
Y3 Y 0.167 0.500 0.500